Material: SnPbF4
Method: DFT, PBEsol
State: optimized geometry

E_form (uncorrected)	-2.29	eV per atom
M_tot	0.0	μB per cell
DOS at the Fermi energy	0.00	states/eV/f.u.

Lattice parameters (Å, degrees): 4.302 4.302 10.239 90.00 90.00 90.00
Fractional positions:
F: 0.500 0.500 0.192
F: 0.000 0.000 0.808
F: 0.000 0.000 0.192
F: 0.500 0.000 0.667
F: 0.500 0.500 0.808
F: 0.000 0.000 0.500
F: 0.000 0.500 0.333
F: 0.500 0.500 0.500
Sn: 0.000 0.500 0.128
Sn: 0.500 0.000 0.872
Pb: 0.000 0.500 0.623
Pb: 0.500 0.000 0.377



Material: Re2As
Method: DFT, PBEsol
State: optimized geometry

M_tot	0.0	μB per cell
DOS at the Fermi energy	1.70	states/eV/f.u.
DFT total energy	-10.24	eV/atom

Lattice parameters (Å, degrees): 2.894 4.010 4.543 116.19 108.57 90.00
Fractional positions:
Re: 0.673 0.673 0.346
Re: 0.327 0.327 0.654
As: 0.000 0.000 0.000



Material: Zn7Mo
Method: DFT, PBEsol
State: optimized geometry

M_tot	0.0	μB per cell
DOS at the Fermi energy	2.28	states/eV/f.u.
DFT total energy	-2.87	eV/atom

Lattice parameters (Å, degrees): 5.421 5.421 5.421 60.00 60.00 60.00
Fractional positions:
Mo: 0.000 0.000 0.000
Zn: 0.500 0.500 0.500
Zn: 0.500 0.000 0.000
Zn: 0.000 0.000 0.500
Zn: 0.500 0.000 0.500
Zn: 0.000 0.500 0.500
Zn: 0.500 0.500 0.000
Zn: 0.000 0.500 0.000



Material: BeInCl2
Method: DFT, PBEsol
State: optimized geometry

E_form (uncorrected)	-0.76	eV per atom
M_tot	0.0	μB per cell
DOS at the Fermi energy	0.60	states/eV/f.u.
distance to the lowest polymorph of the same formula	0	meV/atom

Lattice parameters (Å, degrees): 3.181 3.181 11.195 81.83 81.83 60.00
Fractional positions:
In: 0.500 0.500 0.500
Cl: 0.705 0.705 0.886
Cl: 0.295 0.295 0.114
Be: 0.000 0.000 0.000



Material: CdH6CBr3N3
Method: DFT, PBEsol
State: optimized geometry

M_tot	0.0	μB per cell
DOS at the Fermi energy	0.00	states/eV/f.u.
DFT total energy	-4.94	eV/atom

Lattice parameters (Å, degrees): 7.363 7.521 8.925 114.92 97.76 71.31
Fractional positions:
N: 0.588 0.668 0.298
N: 0.750 0.773 0.545
N: 0.088 0.370 0.702
N: 0.912 0.630 0.298
N: 0.412 0.332 0.702
N: 0.250 0.227 0.455
H: 0.533 0.298 0.639
H: 0.627 0.817 0.609
H: 0.419 0.368 0.826
H: 0.873 0.792 0.609
H: 0.919 0.542 0.174
H: 0.373 0.183 0.391
H: 0.967 0.341 0.639
H: 0.127 0.208 0.391
H: 0.033 0.659 0.361
H: 0.467 0.702 0.361
H: 0.581 0.632 0.174
H: 0.081 0.458 0.826
Br: 0.135 0.797 0.076
Br: 0.865 0.203 0.924
Br: 0.365 0.279 0.076
Br: 0.250 0.792 0.583
Br: 0.750 0.208 0.417
Br: 0.635 0.721 0.924
Cd: 0.750 0.049 0.098
Cd: 0.250 0.951 0.902
C: 0.750 0.690 0.380
C: 0.250 0.310 0.620



Material: NiSnP2Cl
Method: DFT, PBEsol
State: optimized geometry

E_form (uncorrected)	1.25	eV per atom
M_tot	1.7	μB per cell
DOS at the Fermi energy	10.56	states/eV/f.u.
distance to the lowest polymorph of the same formula	1033	meV/atom

Lattice parameters (Å, degrees): 4.946 4.981 4.981 90.00 90.00 90.00
Fractional positions:
Cl: 0.500 0.000 0.000
P: 0.000 0.500 0.000
P: 0.000 0.000 0.500
Ni: 0.500 0.500 0.500
Sn: 0.000 0.000 0.000



Material: Ca2Zn2Pb
Method: DFT, PBEsol
State: optimized geometry

M_tot	0.0	μB per cell
DOS at the Fermi energy	3.48	states/eV/f.u.
distance to the lowest polymorph of the same formula	0	meV/atom

Lattice parameters (Å, degrees): 4.044 7.726 7.726 90.00 90.00 90.00
Fractional positions:
Pb: 0.000 0.000 0.000
Pb: 0.000 0.500 0.500
Zn: 0.000 0.116 0.384
Zn: 0.000 0.616 0.116
Zn: 0.000 0.884 0.616
Zn: 0.000 0.384 0.884
Ca: 0.500 0.323 0.177
Ca: 0.500 0.677 0.823
Ca: 0.500 0.823 0.323
Ca: 0.500 0.177 0.677



Material: BaTa3F
Method: DFT, PBEsol
State: optimized geometry

E_form (uncorrected)	0.81	eV per atom
M_tot	0.0	μB per cell
DOS at the Fermi energy	4.62	states/eV/f.u.

Lattice parameters (Å, degrees): 4.580 4.580 4.580 90.00 90.00 90.00
Fractional positions:
Ta: 0.000 0.500 0.000
Ta: 0.500 0.000 0.000
Ta: 0.000 0.000 0.500
F: 0.000 0.000 0.000
Ba: 0.500 0.500 0.500